(1)
# TaTiI2N

An optimized crystal structure of TaTiI2N (PBE, Alexandria via LeMat-Bulk).

abc: 5.6839 5.6839 3.8875
angles: 90.00 90.00 90.00
Closest atoms and distances in Å follow each position.
Sites, in units of the cell vectors:
Ti 0.5000 0.5000 0.5000  8 I 3.44
I 0.5000 0.0000 0.0000  2 Ta 2.84
N 0.0000 0.0000 0.5000  2 Ta 1.94
Ta 0.0000 0.0000 0.0000  2 N 1.94
I 0.0000 0.5000 0.0000  2 Ta 2.84

Summary:
Energy relative to the elements, uncorrected   0.52 eV per atom
Total moment   1.13 μB/f.u.
Mass density   6.57 g cm⁻³
Crystal system   tetragonal
Calculated total energy   -28.6 eV/cell

***

(2)
# TaWI2N

An optimized crystal structure of TaWI2N (PBE, Alexandria via LeMat-Bulk).

abc: 5.5712 5.5712 3.7935
angles: 90.00 90.00 90.00
Closest atoms and distances in Å follow each position.
Sites, in units of the cell vectors:
I 0.5000 0.0000 0.0000  2 W 2.79
Ta 0.5000 0.5000 0.5000  8 I 3.37
W 0.0000 0.0000 0.0000  2 N 1.90
I 0.0000 0.5000 0.0000  2 W 2.79
N 0.0000 0.0000 0.5000  2 W 1.90

Summary:
Energy relative to the elements, uncorrected   1.18 eV per atom
Total moment   2.29 μB/f.u.
Mass density   8.92 g cm⁻³
Crystal system   tetragonal
Calculated total energy   -30.3 eV/cell

***

(3)
# TaWI2N

An optimized crystal structure of TaWI2N (PBE, Alexandria via LeMat-Bulk).

abc: 5.6580 5.6580 3.8926
angles: 90.00 90.00 90.00
Closest atoms and distances in Å follow each position.
Sites, in units of the cell vectors:
N 0.0000 0.0000 0.5000  2 Ta 1.95
I 0.0000 0.5000 0.0000  2 Ta 2.83
Ta 0.0000 0.0000 0.0000  2 N 1.95
I 0.5000 0.0000 0.0000  2 Ta 2.83
W 0.5000 0.5000 0.5000  8 I 3.43

Summary:
Energy relative to the elements, uncorrected   1.24 eV per atom
Total moment   4.65 μB/f.u.
Mass density   8.43 g cm⁻³
Crystal system   tetragonal
Calculated total energy   -30.0 eV/cell

***

(4)
# YTaI2N

An optimized crystal structure of YTaI2N (PBE, Alexandria via LeMat-Bulk).

abc: 6.0788 6.0788 4.0092
angles: 90.00 90.00 90.00
Closest atoms and distances in Å follow each position.
Sites, in units of the cell vectors:
I 0.5000 0.0000 0.0000  2 Y 3.04
I 0.0000 0.5000 0.0000  2 Y 3.04
Ta 0.5000 0.5000 0.5000  8 I 3.64, 2 Ta 4.01
Y 0.0000 0.0000 0.0000  2 N 2.00
N 0.0000 0.0000 0.5000  2 Y 2.00

Summary:
Energy relative to the elements, uncorrected   0.79 eV per atom
Total moment   3.16 μB/f.u.
Mass density   6.03 g cm⁻³
Crystal system   tetragonal
Calculated total energy   -25.8 eV/cell

***

(5)
# YTaI2N

An optimized crystal structure of YTaI2N (PBE, Alexandria via LeMat-Bulk).

abc: 5.7681 5.7681 3.9211
angles: 90.00 90.00 90.00
Closest atoms and distances in Å follow each position.
Sites, in units of the cell vectors:
N 0.0000 0.0000 0.5000  2 Ta 1.96
I 0.5000 0.0000 0.0000  2 Ta 2.88
Y 0.5000 0.5000 0.5000  8 I 3.49
I 0.0000 0.5000 0.0000  2 Ta 2.88
Ta 0.0000 0.0000 0.0000  2 N 1.96

Summary:
Energy relative to the elements, uncorrected   -0.03 eV per atom
Total moment   0.65 μB/f.u.
Mass density   6.84 g cm⁻³
Crystal system   tetragonal
Calculated total energy   -29.9 eV/cell

***

(6)
# TaZn2IN

An optimized crystal structure of TaZn2IN (PBE, Alexandria via LeMat-Bulk).

abc: 3.8969 6.5575 3.8969
angles: 90.00 90.00 90.00
Closest atoms and distances in Å follow each position.
Sites, in units of the cell vectors:
Ta 0.5000 0.5000 0.5000  4 I 2.76
Zn 0.5000 0.0000 0.0000  2 N 1.95
N 0.0000 0.0000 0.0000  4 Zn 1.95
Zn 0.0000 0.0000 0.5000  2 N 1.95
I 0.0000 0.5000 0.0000  4 Ta 2.76

Summary:
Energy relative to the elements, uncorrected   1.08 eV per atom
Total moment   0.00 μB/f.u.
Mass density   7.55 g cm⁻³
Crystal system   tetragonal
Calculated total energy   -18.9 eV/cell

***

(7)
# ZrTaI2N

An optimized crystal structure of ZrTaI2N (PBE, Alexandria via LeMat-Bulk).

abc: 5.8771 5.8771 3.9390
angles: 90.00 90.00 90.00
Closest atoms and distances in Å follow each position.
Sites, in units of the cell vectors:
I 0.5000 0.0000 0.0000  2 Zr 2.94
Ta 0.5000 0.5000 0.5000  8 I 3.54, 2 Ta 3.94
I 0.0000 0.5000 0.0000  2 Zr 2.94
N 0.0000 0.0000 0.5000  2 Zr 1.97
Zr 0.0000 0.0000 0.0000  2 N 1.97

Summary:
Energy relative to the elements, uncorrected   0.76 eV per atom
Total moment   3.04 μB/f.u.
Mass density   6.59 g cm⁻³
Crystal system   tetragonal
Calculated total energy   -28.0 eV/cell

***

(8)
# ZrTaI2N

An optimized crystal structure of ZrTaI2N (PBE, Alexandria via LeMat-Bulk).

abc: 5.7325 5.7325 3.8781
angles: 90.00 90.00 90.00
Closest atoms and distances in Å follow each position.
Sites, in units of the cell vectors:
I 0.0000 0.5000 0.0000  2 Ta 2.87
Zr 0.5000 0.5000 0.5000  8 I 3.46
Ta 0.0000 0.0000 0.0000  2 N 1.94
N 0.0000 0.0000 0.5000  2 Ta 1.94
I 0.5000 0.0000 0.0000  2 Ta 2.87

Summary:
Energy relative to the elements, uncorrected   0.41 eV per atom
Total moment   1.25 μB/f.u.
Mass density   7.04 g cm⁻³
Crystal system   tetragonal
Calculated total energy   -29.8 eV/cell

***

(9)
# TbI4N2

An optimized crystal structure of TbI4N2 (PBE, Alexandria via LeMat-Bulk).

abc: 3.9189 10.1043 8.3245
angles: 65.48 76.48 113.03
Closest atoms and distances in Å follow each position.
Sites, in units of the cell vectors:
I 0.0049 0.7478 0.4869  2 N 2.14
Tb 0.0000 0.0000 0.0000  2 N 2.38
N 0.3621 0.1847 0.6436  2 I 2.14, 1 Tb 2.38
I 0.2576 0.7539 0.9879  2 Tb 3.06
N 0.6379 0.8153 0.3564  2 I 2.14, 1 Tb 2.38
I 0.7424 0.2461 0.0121  2 Tb 3.06
I 0.9951 0.2522 0.5131  2 N 2.14

Summary:
Energy relative to the elements, uncorrected   0.10 eV per atom
Total moment   0.00 μB/f.u.
Mass density   4.74 g cm⁻³
Crystal system   triclinic
Calculated total energy   -26.8 eV/cell

***

(10)
# Tb2IN

An optimized crystal structure of Tb2IN (PBE, Alexandria via LeMat-Bulk).

abc: 3.6911 3.6911 7.6697
angles: 76.08 76.08 60.00
Closest atoms and distances in Å follow each position.
Sites, in units of the cell vectors:
N 0.6688 0.6688 0.9937  6 Tb 2.44-2.50
I 0.4992 0.4992 0.5024  6 Tb 3.23-3.24
Tb 0.0559 0.0559 0.8323  3 N 2.44
Tb 0.2761 0.2761 0.1716  3 N 2.50

Summary:
Energy relative to the elements, uncorrected   -1.21 eV per atom
Total moment   0.00 μB/f.u.
Mass density   8.76 g cm⁻³
Crystal system   trigonal
Calculated total energy   -24.0 eV/cell

***

(11)
# Tb2I2N

An optimized crystal structure of Tb2I2N (PBE, Alexandria via LeMat-Bulk).

abc: 3.9890 7.7342 11.4583
angles: 96.44 100.02 90.00
Closest atoms and distances in Å follow each position.
Sites, in units of the cell vectors:
I 0.5829 0.7111 0.1658  3 Tb 3.12-3.29
N 0.7842 0.3957 0.5683  4 Tb 2.13-2.36
Tb 0.3112 0.5478 0.6225  3 N 2.24-2.36
N 0.2158 0.6043 0.4317  4 Tb 2.13-2.36
Tb 0.6888 0.4522 0.3775  3 N 2.24-2.36
I 0.1105 0.1957 0.2210  3 Tb 3.20-3.28
Tb 0.1833 0.8526 0.3667  1 N 2.13
I 0.8895 0.8043 0.7790  3 Tb 3.20-3.28
Tb 0.8167 0.1474 0.6333  1 N 2.13
I 0.4171 0.2889 0.8342  3 Tb 3.12-3.29

Summary:
Energy relative to the elements, uncorrected   -1.37 eV per atom
Total moment   0.11 μB/f.u.
Mass density   5.62 g cm⁻³
Crystal system   monoclinic
Calculated total energy   -55.0 eV/cell

***

(12)
# TbIN

An optimized crystal structure of TbIN (PBE, Alexandria via LeMat-Bulk).

abc: 3.3372 3.3372 8.1842
angles: 101.76 101.76 90.00
Closest atoms and distances in Å follow each position.
Sites, in units of the cell vectors:
Tb 0.7694 0.7694 0.5389  4 N 2.37
I 0.9734 0.9734 0.9467  1 Tb 3.20, 4 I 3.34
N 0.2572 0.2572 0.5144  4 Tb 2.37

Summary:
Energy relative to the elements, uncorrected   -0.65 eV per atom
Total moment   0.00 μB/f.u.
Mass density   5.70 g cm⁻³
Crystal system   tetragonal
Calculated total energy   -16.5 eV/cell